Entry 1:
CdSnAu: optimized geometry, PBE.

Lattice parameters (Å, degrees): 4.741 4.741 4.741 60.00 60.00 60.00
Atoms (fractional coordinates):
Sn1 0.000 0.000 0.000
Cd1 0.750 0.750 0.750
Au1 0.250 0.250 0.250

Output
Energy = -8.161 eV per formula unit

***

Entry 2:
DyErCd6: optimized geometry, PBE.

Lattice parameters (Å, degrees): 4.830 6.430 6.430 67.51 90.00 90.00
Atoms (fractional coordinates):
Cd1 0.000 0.323 0.323
Cd2 0.500 0.189 0.619
Cd3 0.000 0.381 0.811
Cd4 0.500 0.676 0.676
Cd5 0.500 0.619 0.189
Cd6 0.000 0.811 0.381
Er1 0.500 0.133 0.133
Dy1 0.000 0.868 0.868

Output
Formation energy = -0.281 eV per atom
E above lowest polymorph = 0.001 eV per atom

***

Entry 3:
TaMo2Pb: optimized geometry, PBE.

Lattice parameters (Å, degrees): 4.684 4.684 4.684 60.00 60.00 60.00
Atoms (fractional coordinates):
Pb1 0.500 0.500 0.500
Ta1 0.250 0.250 0.250
Mo1 0.000 0.000 0.000
Mo2 0.750 0.750 0.750

Output
Energy = -34.809 eV per formula unit

***

Entry 4:
ThNbW: optimized geometry, PBE.

Lattice parameters (Å, degrees): 4.698 4.698 4.698 60.00 60.00 60.00
Atoms (fractional coordinates):
Th1 0.250 0.250 0.250
W1 0.000 0.000 0.000
Nb1 0.750 0.750 0.750

Output
Formation energy = 0.595 eV per atom
E above lowest polymorph = 0.000 eV per atom

***

Entry 5:
DyLuFeSi2: optimized geometry, PBE.

Lattice parameters (Å, degrees): 5.554 5.554 9.840 116.67 116.67 43.35
Atoms (fractional coordinates):
Lu1 0.502 0.502 0.830
Lu2 0.498 0.498 0.170
Dy1 0.690 0.690 0.610
Dy2 0.310 0.310 0.390
Si1 0.999 0.999 0.628
Si2 0.849 0.849 0.938
Si3 0.151 0.151 0.062
Si4 0.001 0.001 0.372
Fe1 0.230 0.230 0.877
Fe2 0.770 0.770 0.123

Output
Energy = -31.900 eV per formula unit

***

Entry 6:
KGaPdS3: optimized geometry, PBE.

Lattice parameters (Å, degrees): 8.148 3.781 9.596 90.00 106.07 90.00
Atoms (fractional coordinates):
S1 0.239 0.750 0.405
S2 0.935 0.250 0.128
S3 0.639 0.750 0.838
S4 0.761 0.250 0.595
S5 0.361 0.250 0.162
S6 0.065 0.750 0.872
Ga1 0.143 0.750 0.130
Ga2 0.857 0.250 0.870
Pd1 0.403 0.250 0.417
Pd2 0.597 0.750 0.583
K1 0.292 0.250 0.742
K2 0.708 0.750 0.258

Output
Energy = -24.985 eV per formula unit

***

Entry 7:
YSiGePd2: optimized geometry, PBE.

Lattice parameters (Å, degrees): 4.209 4.209 10.213 90.00 90.00 90.00
Atoms (fractional coordinates):
Pd1 0.000 0.000 0.000
Pd2 0.000 0.500 0.641
Pd3 0.500 0.500 0.000
Pd4 0.500 0.000 0.359
Y1 0.000 0.500 0.245
Y2 0.500 0.000 0.755
Si1 0.500 0.000 0.127
Si2 0.000 0.500 0.873
Ge1 0.000 0.000 0.500
Ge2 0.500 0.500 0.500

Output
E above lowest polymorph = 0.032 eV per atom

***

Entry 8:
SmGa2CuAu: optimized geometry, PBE.

Lattice parameters (Å, degrees): 4.292 4.292 10.238 90.00 90.00 90.00
Atoms (fractional coordinates):
Sm1 0.000 0.500 0.258
Sm2 0.500 0.000 0.742
Au1 0.000 0.000 0.000
Au2 0.500 0.500 0.000
Cu1 0.500 0.000 0.380
Cu2 0.000 0.500 0.620
Ga1 0.500 0.500 0.500
Ga2 0.500 0.000 0.150
Ga3 0.000 0.500 0.850
Ga4 0.000 0.000 0.500

Output
Energy = -20.454 eV per formula unit

***

Entry 9:
SmGdB4: optimized geometry, PBE.

Lattice parameters (Å, degrees): 5.182 5.182 5.182 142.66 112.67 79.61
Atoms (fractional coordinates):
B1 0.584 0.251 0.333
B2 0.083 0.749 0.333
B3 0.416 0.749 0.667
B4 0.917 0.251 0.667
Gd1 0.000 0.000 0.000
Sm1 0.500 0.500 0.000

Output
E above lowest polymorph = 0.002 eV per atom

***

Entry 10:
SiAg2Pd: optimized geometry, PBE.

Lattice parameters (Å, degrees): 4.475 4.475 4.475 60.00 60.00 60.00
Atoms (fractional coordinates):
Ag1 0.750 0.750 0.750
Ag2 0.000 0.000 0.000
Pd1 0.250 0.250 0.250
Si1 0.500 0.500 0.500

Output
Energy = -16.236 eV per formula unit

***

Entry 11:
Rb2Pd2Se3: optimized geometry, PBE.

Lattice parameters (Å, degrees): 6.992 6.992 6.992 67.92 67.92 67.92
Atoms (fractional coordinates):
Rb1 0.500 0.500 0.500
Rb2 0.000 0.000 0.000
Se1 0.000 0.500 0.000
Se2 0.500 0.000 0.000
Se3 0.000 0.000 0.500
Pd1 0.785 0.785 0.785
Pd2 0.215 0.215 0.215

Output
E above lowest polymorph = 0.000 eV per atom

***

Entry 12:
UZnFe: optimized geometry, PBE.

Lattice parameters (Å, degrees): 5.706 5.706 4.493 106.71 106.71 45.94
Atoms (fractional coordinates):
Zn1 0.922 0.922 0.201
Zn2 0.078 0.078 0.799
Fe1 0.307 0.307 0.186
Fe2 0.693 0.693 0.814
U1 0.379 0.379 0.692
U2 0.621 0.621 0.308

Output
Formation energy = -0.120 eV per atom